Model 1:
# LiTaFeB, relaxed, DFT GGA-PBE
# Total magnetization   0.00 μB per atom
data_LiTaFeB
_chemical_formula_sum 'Li4 Ta4 Fe4 B4'
_cell_length_a 5.531
_cell_length_b 5.531
_cell_length_c 5.531
_cell_angle_alpha 90.00
_cell_angle_beta 90.00
_cell_angle_gamma 90.00
_space_group_name_H-M_alt 'F -4 3 m'
_space_group_IT_number 216
_space_group_name_Hall 'F -4 2 3'
loop_
_atom_site_label
_atom_site_fract_x
_atom_site_fract_y
_atom_site_fract_z
Li1 0.000 0.000 0.000
Ta1 0.250 0.250 0.250
Fe1 0.250 0.250 0.750
B1 0.000 0.000 0.500



Model 2:
# LiTaFeB, relaxed, DFT GGA-PBE
# Total magnetization   0.19 μB per atom
data_LiTaFeB
_chemical_formula_sum 'Li4 Ta4 Fe4 B4'
_cell_length_a 5.593
_cell_length_b 5.593
_cell_length_c 5.593
_cell_angle_alpha 90.00
_cell_angle_beta 90.00
_cell_angle_gamma 90.00
_space_group_name_H-M_alt 'F -4 3 m'
_space_group_IT_number 216
_space_group_name_Hall 'F -4 2 3'
loop_
_atom_site_label
_atom_site_fract_x
_atom_site_fract_y
_atom_site_fract_z
Li1 0.000 0.000 0.000
Ta1 0.250 0.250 0.750
Fe1 0.000 0.000 0.500
B1 0.250 0.250 0.250



Relative energies, in meV/atom, with the most stable structure set to zero: model 1 21; model 2 0.



Model 1:
# LiZrFeB, relaxed, DFT GGA-PBE
# Total magnetization   0.47 μB per atom
data_LiZrFeB
_chemical_formula_sum 'Li4 Zr4 Fe4 B4'
_cell_length_a 5.780
_cell_length_b 5.780
_cell_length_c 5.780
_cell_angle_alpha 90.00
_cell_angle_beta 90.00
_cell_angle_gamma 90.00
_space_group_name_H-M_alt 'F -4 3 m'
_space_group_IT_number 216
_space_group_name_Hall 'F -4 2 3'
loop_
_atom_site_label
_atom_site_fract_x
_atom_site_fract_y
_atom_site_fract_z
Li1 0.000 0.000 0.000
Zr1 0.250 0.250 0.250
Fe1 0.250 0.250 0.750
B1 0.000 0.000 0.500



Model 2:
# LiZrFeB, relaxed, DFT GGA-PBE
# Total magnetization   0.37 μB per atom
data_LiZrFeB
_chemical_formula_sum 'Li4 Zr4 Fe4 B4'
_cell_length_a 5.746
_cell_length_b 5.746
_cell_length_c 5.746
_cell_angle_alpha 90.00
_cell_angle_beta 90.00
_cell_angle_gamma 90.00
_space_group_name_H-M_alt 'F -4 3 m'
_space_group_IT_number 216
_space_group_name_Hall 'F -4 2 3'
loop_
_atom_site_label
_atom_site_fract_x
_atom_site_fract_y
_atom_site_fract_z
Li1 0.000 0.000 0.000
Zr1 0.250 0.250 0.750
Fe1 0.000 0.000 0.500
B1 0.250 0.250 0.250



Relative energies, in meV/atom, with the most stable structure set to zero: model 1 0; model 2 196.



Model 1:
# LuFeB, relaxed, DFT GGA-PBE
# Total magnetization   0.63 μB per atom
data_LuFeB
_chemical_formula_sum 'Lu4 Fe4 B4'
_cell_length_a 5.837
_cell_length_b 5.837
_cell_length_c 5.837
_cell_angle_alpha 90.00
_cell_angle_beta 90.00
_cell_angle_gamma 90.00
_space_group_name_H-M_alt 'F -4 3 m'
_space_group_IT_number 216
_space_group_name_Hall 'F -4 2 3'
loop_
_atom_site_label
_atom_site_fract_x
_atom_site_fract_y
_atom_site_fract_z
Lu1 0.000 0.000 0.000
Fe1 0.250 0.250 0.250
B1 0.250 0.250 0.750



Model 2:
# LuFeB, relaxed, DFT GGA-PBE
# Total magnetization   0.02 μB per atom
data_LuFeB
_chemical_formula_sum 'Lu4 Fe4 B4'
_cell_length_a 5.611
_cell_length_b 5.611
_cell_length_c 5.611
_cell_angle_alpha 90.00
_cell_angle_beta 90.00
_cell_angle_gamma 90.00
_space_group_name_H-M_alt 'F -4 3 m'
_space_group_IT_number 216
_space_group_name_Hall 'F -4 2 3'
loop_
_atom_site_label
_atom_site_fract_x
_atom_site_fract_y
_atom_site_fract_z
Lu1 0.000 0.000 0.000
Fe1 0.250 0.250 0.750
B1 0.000 0.000 0.500



Relative energies, in meV/atom, with the most stable structure set to zero: model 1 685; model 2 0.



Model 1:
# LuMgFeB, relaxed, DFT GGA-PBE
# Total magnetization   0.50 μB per atom
data_LuMgFeB
_chemical_formula_sum 'Lu4 Mg4 Fe4 B4'
_cell_length_a 6.113
_cell_length_b 6.113
_cell_length_c 6.113
_cell_angle_alpha 90.00
_cell_angle_beta 90.00
_cell_angle_gamma 90.00
_space_group_name_H-M_alt 'F -4 3 m'
_space_group_IT_number 216
_space_group_name_Hall 'F -4 2 3'
loop_
_atom_site_label
_atom_site_fract_x
_atom_site_fract_y
_atom_site_fract_z
Lu1 0.000 0.000 0.000
Mg1 0.250 0.250 0.250
Fe1 0.250 0.250 0.750
B1 0.000 0.000 0.500



Model 2:
# LuMgFeB, relaxed, DFT GGA-PBE
# Total magnetization   0.48 μB per atom
data_LuMgFeB
_chemical_formula_sum 'Lu4 Mg4 Fe4 B4'
_cell_length_a 6.144
_cell_length_b 6.144
_cell_length_c 6.144
_cell_angle_alpha 90.00
_cell_angle_beta 90.00
_cell_angle_gamma 90.00
_space_group_name_H-M_alt 'F -4 3 m'
_space_group_IT_number 216
_space_group_name_Hall 'F -4 2 3'
loop_
_atom_site_label
_atom_site_fract_x
_atom_site_fract_y
_atom_site_fract_z
Lu1 0.000 0.000 0.000
Mg1 0.250 0.250 0.750
Fe1 0.000 0.000 0.500
B1 0.250 0.250 0.250



Relative energies, in meV/atom, with the most stable structure set to zero: model 1 195; model 2 0.



Model 1:
# LuNbFeB, relaxed, DFT GGA-PBE
# Total magnetization   0.00 μB per atom
data_LuNbFeB
_chemical_formula_sum 'Lu4 Nb4 Fe4 B4'
_cell_length_a 6.097
_cell_length_b 6.097
_cell_length_c 6.097
_cell_angle_alpha 90.00
_cell_angle_beta 90.00
_cell_angle_gamma 90.00
_space_group_name_H-M_alt 'F -4 3 m'
_space_group_IT_number 216
_space_group_name_Hall 'F -4 2 3'
loop_
_atom_site_label
_atom_site_fract_x
_atom_site_fract_y
_atom_site_fract_z
Lu1 0.000 0.000 0.000
Nb1 0.250 0.250 0.750
Fe1 0.000 0.000 0.500
B1 0.250 0.250 0.250



Model 2:
# LuNbFeB, relaxed, DFT GGA-PBE
# Total magnetization   0.27 μB per atom
data_LuNbFeB
_chemical_formula_sum 'Lu4 Nb4 Fe4 B4'
_cell_length_a 6.074
_cell_length_b 6.074
_cell_length_c 6.074
_cell_angle_alpha 90.00
_cell_angle_beta 90.00
_cell_angle_gamma 90.00
_space_group_name_H-M_alt 'F -4 3 m'
_space_group_IT_number 216
_space_group_name_Hall 'F -4 2 3'
loop_
_atom_site_label
_atom_site_fract_x
_atom_site_fract_y
_atom_site_fract_z
Lu1 0.000 0.000 0.000
Nb1 0.250 0.250 0.250
Fe1 0.250 0.250 0.750
B1 0.000 0.000 0.500



Relative energies, in meV/atom, with the most stable structure set to zero: model 1 0; model 2 155.



Model 1:
# LuFeBOs, relaxed, DFT GGA-PBE
# Total magnetization   0.89 μB per atom
data_LuFeBOs
_chemical_formula_sum 'Lu4 Fe4 B4 Os4'
_cell_length_a 6.173
_cell_length_b 6.173
_cell_length_c 6.173
_cell_angle_alpha 90.00
_cell_angle_beta 90.00
_cell_angle_gamma 90.00
_space_group_name_H-M_alt 'F -4 3 m'
_space_group_IT_number 216
_space_group_name_Hall 'F -4 2 3'
loop_
_atom_site_label
_atom_site_fract_x
_atom_site_fract_y
_atom_site_fract_z
Lu1 0.000 0.000 0.000
Fe1 0.000 0.000 0.500
B1 0.250 0.250 0.250
Os1 0.250 0.250 0.750



Model 2:
# LuFeBOs, relaxed, DFT GGA-PBE
# Total magnetization   0.45 μB per atom
data_LuFeBOs
_chemical_formula_sum 'Lu4 Fe4 B4 Os4'
_cell_length_a 6.005
_cell_length_b 6.005
_cell_length_c 6.005
_cell_angle_alpha 90.00
_cell_angle_beta 90.00
_cell_angle_gamma 90.00
_space_group_name_H-M_alt 'F -4 3 m'
_space_group_IT_number 216
_space_group_name_Hall 'F -4 2 3'
loop_
_atom_site_label
_atom_site_fract_x
_atom_site_fract_y
_atom_site_fract_z
Lu1 0.000 0.000 0.000
Fe1 0.250 0.250 0.750
B1 0.000 0.000 0.500
Os1 0.250 0.250 0.250



Relative energies, in meV/atom, with the most stable structure set to zero: model 1 7; model 2 0.



Model 1:
# LuFeBPd, relaxed, DFT GGA-PBE
# Total magnetization   0.02 μB per atom
data_LuFeBPd
_chemical_formula_sum 'Lu4 Fe4 B4 Pd4'
_cell_length_a 6.008
_cell_length_b 6.008
_cell_length_c 6.008
_cell_angle_alpha 90.00
_cell_angle_beta 90.00
_cell_angle_gamma 90.00
_space_group_name_H-M_alt 'F -4 3 m'
_space_group_IT_number 216
_space_group_name_Hall 'F -4 2 3'
loop_
_atom_site_label
_atom_site_fract_x
_atom_site_fract_y
_atom_site_fract_z
Lu1 0.000 0.000 0.000
Fe1 0.250 0.250 0.750
B1 0.000 0.000 0.500
Pd1 0.250 0.250 0.250



Model 2:
# LuFeBPd, relaxed, DFT GGA-PBE
# Total magnetization   0.66 μB per atom
data_LuFeBPd
_chemical_formula_sum 'Lu4 Fe4 B4 Pd4'
_cell_length_a 6.203
_cell_length_b 6.203
_cell_length_c 6.203
_cell_angle_alpha 90.00
_cell_angle_beta 90.00
_cell_angle_gamma 90.00
_space_group_name_H-M_alt 'F -4 3 m'
_space_group_IT_number 216
_space_group_name_Hall 'F -4 2 3'
loop_
_atom_site_label
_atom_site_fract_x
_atom_site_fract_y
_atom_site_fract_z
Lu1 0.000 0.000 0.000
Fe1 0.000 0.000 0.500
B1 0.250 0.250 0.250
Pd1 0.250 0.250 0.750



Relative energies, in meV/atom, with the most stable structure set to zero: model 1 58; model 2 0.



Model 1:
# LuFeTcB, relaxed, DFT GGA-PBE
# Total magnetization   0.56 μB per atom
data_LuFeTcB
_chemical_formula_sum 'Lu4 Fe4 Tc4 B4'
_cell_length_a 5.986
_cell_length_b 5.986
_cell_length_c 5.986
_cell_angle_alpha 90.00
_cell_angle_beta 90.00
_cell_angle_gamma 90.00
_space_group_name_H-M_alt 'F -4 3 m'
_space_group_IT_number 216
_space_group_name_Hall 'F -4 2 3'
loop_
_atom_site_label
_atom_site_fract_x
_atom_site_fract_y
_atom_site_fract_z
Lu1 0.000 0.000 0.000
Fe1 0.250 0.250 0.750
Tc1 0.250 0.250 0.250
B1 0.000 0.000 0.500



Model 2:
# LuFeTcB, relaxed, DFT GGA-PBE
# Total magnetization   0.74 μB per atom
data_LuFeTcB
_chemical_formula_sum 'Lu4 Fe4 Tc4 B4'
_cell_length_a 6.105
_cell_length_b 6.105
_cell_length_c 6.105
_cell_angle_alpha 90.00
_cell_angle_beta 90.00
_cell_angle_gamma 90.00
_space_group_name_H-M_alt 'F -4 3 m'
_space_group_IT_number 216
_space_group_name_Hall 'F -4 2 3'
loop_
_atom_site_label
_atom_site_fract_x
_atom_site_fract_y
_atom_site_fract_z
Lu1 0.000 0.000 0.000
Fe1 0.000 0.000 0.500
Tc1 0.250 0.250 0.750
B1 0.250 0.250 0.250



Relative energies, in meV/atom, with the most stable structure set to zero: model 1 0; model 2 23.